(1)
3
Lattice="4.1377 0.0000 0.0000 -2.0689 3.5834 0.0000 0.0000 0.0000 5.6156" Properties=species:S:1:pos:R:3 comment="PBE BaTcMo, relaxed" mass_density_g_cm3=6.6 e_above_lowest_polymorph_mev_per_atom=47 total_energy_ha_per_atom=-0.257 formation_energy_ev_per_atom=0.7109 pbc="T T T"
Ba 0.0000 0.0000 0.0000
Tc 0.0000 2.3889 2.7103
Mo 2.0689 1.1945 2.8818

=====

(2)
4
Lattice="3.3679 0.0000 0.0000 0.0000 3.4178 0.0000 -1.6674 0.0000 10.1171" Properties=species:S:1:pos:R:3 comment="PBE Ba2TcMo, relaxed" mass_density_g_cm3=6.7 e_above_lowest_polymorph_mev_per_atom=164 total_energy_ha_per_atom=-0.208 formation_energy_ev_per_atom=0.5963 pbc="T T T"
Ba 0.0000 0.0000 0.0000
Ba 0.0152 1.7089 3.9765
Tc 0.0189 1.7089 7.6146
Mo 1.6987 0.0000 6.5663

=====

(3)
5
Lattice="5.8466 0.0000 0.0000 0.0000 5.8466 0.0000 0.0000 0.0000 5.8466" Properties=species:S:1:pos:R:3 comment="PBE Ba3TcMo, relaxed" mass_density_g_cm3=5.0 e_above_lowest_polymorph_mev_per_atom=0 total_energy_ha_per_atom=-0.152 formation_energy_ev_per_atom=1.2438 pbc="T T T"
Ba 0.0000 0.0000 2.9233
Ba 0.0000 2.9233 0.0000
Ba 2.9233 0.0000 0.0000
Tc 0.0000 0.0000 0.0000
Mo 2.9233 2.9233 2.9233

=====

(4)
4
Lattice="-1.8859 2.9003 5.6849 1.8859 -2.9003 5.6849 1.8859 2.9003 -5.6849" Properties=species:S:1:pos:R:3 comment="PBE Ba2TcMo, relaxed" mass_density_g_cm3=6.3 e_above_lowest_polymorph_mev_per_atom=229 total_energy_ha_per_atom=-0.206 formation_energy_ev_per_atom=0.6620 pbc="T T T"
Ba 0.0000 0.0000 0.0000
Ba 0.0000 2.9003 2.3776
Tc 1.8859 0.0000 3.2486
Mo 0.0000 0.0000 4.6600